DFT (PBE) results for Cr3Se after structural relaxation.

```
Cr3Se
1.0
5.8325 0.0000 0.0000
0.0000 7.2733 0.0000
0.0000 0.0000 5.1359
Cr Se
12 4
Cartesian
0.0984 1.8183 0.5191
1.0646 3.9267 1.7290
1.0646 6.9832 1.7290
1.8517 0.2901 4.2969
1.8517 3.3466 4.2969
2.8178 5.4550 3.0871
3.0147 1.8183 2.0488
3.9809 3.9267 0.8390
3.9809 6.9832 0.8390
4.7679 0.2901 3.4069
4.7679 3.3466 3.4069
5.7341 5.4550 4.6167
0.6795 1.8183 2.8916
2.2368 5.4550 0.3237
3.5957 1.8183 4.8122
5.1531 5.4550 2.2442
```

Results
Theoretical density = 7.16 g cm⁻³
Uncorrected formation energy = 0.289 eV per atom
Total DFT energy (no corrections) = -7.800 eV per atom
Space-group type = No. 62
D(E_F) = 15.7 states/eV/cell
Total magnetic moment = 0.811 μB per cell